Computed, not measured: an optimized crystal structure of Mg2TaRu at the PBE level of DFT.

Unit cell a=3.2947 b=4.3544 c=4.7484 alpha=90.00 beta=90.00 gamma=90.00
Element x y z (fractional)
1 Mg 0.0000 0.0000 0.0000
2 Mg 0.5000 0.5000 0.0000
3 Ta 0.0000 0.5000 0.5000
4 Ru 0.5000 0.0000 0.5000

Output
E above lowest polymorph: 0.136 eV/atom
DFT total energy: -24.16 eV/cell
Calculated formation energy: 39 meV per atom
Theoretical density: 8.1 Mg/m³
Density of states at the Fermi level: 0.358 states/eV per atom
Symmetry: Pmmm, No. 47